Here is a relaxed YH12Rh4 crystal from Alexandria. Energies are from PBE-GGA.

Cell: 5.819 5.819 5.819 Å, 109.47 109.47 109.47°
Fractional positions:
Y 0.000 0.000 0.000
H 0.783 0.302 0.085
H 0.302 0.519 0.217
H 0.915 0.217 0.698
H 0.302 0.085 0.783
H 0.085 0.783 0.302
H 0.698 0.481 0.783
H 0.519 0.217 0.302
H 0.481 0.783 0.698
H 0.698 0.915 0.217
H 0.783 0.698 0.481
H 0.217 0.302 0.519
H 0.217 0.698 0.915
Rh 0.000 0.500 0.000
Rh 0.500 0.000 0.000
Rh 0.500 0.500 0.500
Rh 0.000 0.000 0.500

Output
The symmetry is Im-3 (204). The value obtained for the total energy is -4.6268 eV per atom. The calculated density comes out at 5.61 g/cm3.